Entry 1:
{"formula": "Ho2Tl3CuS6", "functional": "PBE-GGA", "state": "relaxed", "lattice": [[6.737, 0.143, -0.097], [-3.243, 5.907, -0.097], [-1.269, -2.197, 7.366]], "species": ["S", "Tl", "S", "Ho", "S", "S", "S", "Cu", "Tl", "Tl", "S", "Ho"], "fractional_positions": [[0.728, 0.728, 0.235], [0.822, 0.178, 0.500], [0.638, 0.935, 0.823], [0.337, 0.663, 0.000], [0.935, 0.638, 0.823], [0.065, 0.362, 0.177], [0.272, 0.272, 0.765], [0.000, 0.000, 0.000], [0.500, 0.500, 0.500], [0.178, 0.822, 0.500], [0.362, 0.065, 0.177], [0.663, 0.337, 0.000]], "formation_energy_uncorrected_ev_per_atom": -0.946}

=====

Entry 2:
{"formula": "K2Al2N", "functional": "PBE-GGA", "state": "relaxed", "lattice": [[3.697, 0.000, 0.000], [0.000, 3.697, 0.000], [1.848, 1.848, 10.068]], "species": ["K", "K", "Al", "Al", "N"], "fractional_positions": [[0.577, 0.577, 0.845], [0.423, 0.423, 0.155], [0.250, 0.750, 0.500], [0.750, 0.250, 0.500], [0.000, 0.000, 0.000]], "formation_energy_uncorrected_ev_per_atom": 0.681, "e_above_lowest_polymorph_mev_per_atom": 0}

=====

Entry 3:
{"formula": "RbSrCa2Rh", "functional": "PBE-GGA", "state": "relaxed", "lattice": [[5.624, 0.000, 0.000], [0.000, 5.624, 0.000], [0.000, 0.000, 6.510]], "species": ["Sr", "Rh", "Rb", "Ca", "Ca"], "fractional_positions": [[0.500, 0.500, 0.500], [0.000, 0.000, 0.000], [0.000, 0.000, 0.500], [0.500, 0.000, 0.000], [0.000, 0.500, 0.000]], "e_form_ev_per_atom": 0.108, "e_above_lowest_polymorph_mev_per_atom": 221}

=====

Entry 4:
{"formula": "Pm2TiPN5", "functional": "PBE-GGA", "state": "relaxed", "lattice": [[3.142, 0.000, 0.000], [-1.571, 7.077, 0.000], [0.000, 0.000, 10.193]], "species": ["N", "P", "N", "N", "N", "N", "Pm", "N", "Ti", "N", "Ti", "Pm", "Pm", "N", "N", "Pm", "P", "N"], "fractional_positions": [[0.036, 0.072, 0.013], [0.444, 0.888, 0.427], [0.669, 0.339, 0.891], [0.294, 0.587, 0.661], [0.331, 0.661, 0.391], [0.503, 0.006, 0.291], [0.117, 0.233, 0.677], [0.340, 0.680, 0.008], [0.210, 0.419, 0.033], [0.706, 0.413, 0.161], [0.790, 0.581, 0.533], [0.867, 0.734, 0.823], [0.883, 0.767, 0.177], [0.964, 0.928, 0.513], [0.660, 0.320, 0.508], [0.133, 0.266, 0.323], [0.556, 0.112, 0.927], [0.497, 0.994, 0.791]], "formation_energy_uncorrected_ev_per_atom": -1.139}

=====

Entry 5:
{"formula": "Dy4Ho3Zn", "functional": "PBE-GGA", "state": "relaxed", "lattice": [[-2.670, -2.172, -0.835], [2.321, -2.578, -0.717], [-0.884, -5.709, 17.670]], "species": ["Zn", "Dy", "Ho", "Dy", "Dy", "Dy", "Ho", "Ho"], "fractional_positions": [[0.500, 0.500, 0.000], [0.000, 0.000, 0.635], [0.500, 0.500, 0.232], [0.000, 0.000, 0.365], [0.000, 0.000, 0.904], [0.000, 0.000, 0.096], [0.500, 0.500, 0.500], [0.500, 0.500, 0.768]], "e_form_ev_per_atom": -0.070}

=====

Entry 6:
{"formula": "Ho3Sc4Bi4", "functional": "PBE-GGA", "state": "relaxed", "lattice": [[-2.705, -1.063, -3.035], [-2.561, -7.299, 4.840], [-2.985, 8.475, 2.601]], "species": ["Sc", "Ho", "Ho", "Ho", "Sc", "Bi", "Bi", "Bi", "Bi", "Sc", "Sc"], "fractional_positions": [[0.677, 0.473, 0.354], [0.116, 0.116, 0.233], [0.884, 0.884, 0.767], [0.000, 0.500, 0.000], [0.677, 0.881, 0.354], [0.229, 0.729, 0.458], [0.500, 0.791, 0.000], [0.500, 0.209, 0.000], [0.771, 0.271, 0.542], [0.323, 0.119, 0.646], [0.323, 0.527, 0.646]], "e_form_ev_per_atom": -0.529}

=====

Entry 7:
{"formula": "HfTe2IrN", "functional": "PBE-GGA", "state": "relaxed", "lattice": [[-0.348, -1.915, 5.101], [4.038, -3.523, -1.047], [2.463, 2.495, 1.105]], "species": ["Hf", "N", "Te", "Ir", "Te"], "fractional_positions": [[0.500, 0.500, 0.500], [0.000, 0.000, 0.500], [0.000, 0.500, 0.000], [0.000, 0.000, 0.000], [0.500, 0.000, 0.000]], "formation_energy_uncorrected_ev_per_atom": 0.296, "e_above_lowest_polymorph_mev_per_atom": 0}

=====

Entry 8:
{"formula": "TlGeBrF2", "functional": "PBE-GGA", "state": "relaxed", "lattice": [[-3.444, 1.520, -2.260], [1.921, -4.125, -5.703], [-5.007, -5.605, 3.864]], "species": ["F", "Br", "Ge", "Tl", "F", "Ge", "Tl", "F", "F", "Br"], "fractional_positions": [[0.250, 0.493, 0.230], [0.250, 0.105, 0.791], [0.250, 0.656, 0.417], [0.250, 0.733, 0.947], [0.750, 0.507, 0.770], [0.750, 0.344, 0.583], [0.750, 0.267, 0.053], [0.750, 0.562, 0.453], [0.250, 0.438, 0.547], [0.750, 0.895, 0.209]], "formation_energy_uncorrected_ev_per_atom": -1.571, "e_above_lowest_polymorph_mev_per_atom": 0}

=====

Entry 9:
{"formula": "EuDyMgRu", "functional": "PBE-GGA", "state": "relaxed", "lattice": [[5.083, 0.000, 0.000], [2.541, 4.402, 0.000], [2.541, 1.467, 4.150]], "species": ["Eu", "Mg", "Ru", "Dy"], "fractional_positions": [[0.500, 0.500, 0.500], [0.750, 0.750, 0.750], [0.250, 0.250, 0.250], [0.000, 0.000, 0.000]], "e_form_ev_per_atom": -0.017}

=====

Entry 10:
{"formula": "MgTaGaIr", "functional": "PBE-GGA", "state": "relaxed", "lattice": [[4.521, 0.000, 0.000], [2.260, 3.915, 0.000], [2.260, 1.305, 3.691]], "species": ["Ta", "Ga", "Mg", "Ir"], "fractional_positions": [[0.500, 0.500, 0.500], [0.250, 0.250, 0.250], [0.000, 0.000, 0.000], [0.750, 0.750, 0.750]], "e_form_ev_per_atom": -0.288}